Tm12CdNi5: relaxed, GGA-PBE.

Density (g cm⁻³): 9.61
VASP energy (eV/atom): -4.98

Cell: 8.1795 8.1795 8.1795 Å, 111.24 110.45 106.76°
Sites, in units of the cell vectors:
Tm (0.0310, 0.2209, 0.8101)
Tm (0.1814, 0.2863, 0.4677)
Tm (0.1814, 0.7137, 0.8951)
Tm (0.3233, 0.0179, 0.6946)
Tm (0.3233, 0.6287, 0.3054)
Tm (0.4108, 0.2209, 0.1899)
Tm (0.5892, 0.7791, 0.8101)
Tm (0.6767, 0.3713, 0.6946)
Tm (0.6767, 0.9821, 0.3054)
Tm (0.8186, 0.2863, 0.1049)
Tm (0.8186, 0.7137, 0.5323)
Tm (0.9690, 0.7791, 0.1899)
Cd (0.5000, 0.5000, 0.0000)
Ni (0.0000, 0.0000, 0.0000)
Ni (0.1220, 0.6220, 0.5000)
Ni (0.3578, 0.0000, 0.3578)
Ni (0.6422, 0.0000, 0.6422)
Ni (0.8780, 0.3780, 0.5000)